# Rb2V2Fe, optimized geometry, DFT PBE
data_Rb2V2Fe
_chemical_formula_sum 'Rb4 V4 Fe2'
_cell_length_a 3.351
_cell_length_b 3.351
_cell_length_c 24.569
_cell_angle_alpha 90.00
_cell_angle_beta 90.00
_cell_angle_gamma 90.00
_space_group_name_H-M_alt 'I 4/m m m'
_space_group_IT_number 139
_space_group_name_Hall '-I 4 2'
loop_
_atom_site_label
_atom_site_fract_x
_atom_site_fract_y
_atom_site_fract_z
Rb1 0.000 0.000 0.111
V1 0.000 0.500 0.250
Fe1 0.000 0.000 0.500
# Theoretical density   3.96 g/cm³
# Energy above the lowest structure with this stoichiometry   0.00 kJ per mole of atoms